First-principles (GGA-PBE) data for an optimized crystal structure of CuAg2Cl3, as listed in Alexandria via LeMat-Bulk.

## Properties
formation energy (no corrections)	-0.31	eV/atom
ΔE to the lowest computed polymorph	91	meV/atom
size of the total moment	0.00	μB per cell

abc: 9.499 9.499 9.499
angles: 157.90 154.34 34.12
Positions (direct):
Cu: 0.000 0.000 0.000
Ag: 0.325 0.325 0.000
Ag: 0.675 0.675 0.000
Cl: 0.170 0.170 0.000
Cl: 0.500 0.000 0.500
Cl: 0.830 0.830 0.000

First-principles (GGA-PBE) data for an optimized crystal structure of SmY8Ho4, as listed in Alexandria via LeMat-Bulk.

## Properties
calculated formation energy	208.8	meV per atom
size of the total moment	0.00	μB per cell

abc: 10.018 10.018 10.018
angles: 42.74 42.74 42.74
Positions (direct):
Sm: 0.000 0.000 0.000
Y: 0.250 0.250 0.697
Y: 0.250 0.697 0.250
Y: 0.283 0.283 0.283
Y: 0.303 0.750 0.750
Y: 0.697 0.250 0.250
Y: 0.717 0.717 0.717
Y: 0.750 0.303 0.750
Y: 0.750 0.750 0.303
Ho: 0.000 0.000 0.500
Ho: 0.000 0.500 0.000
Ho: 0.500 0.000 0.000
Ho: 0.500 0.500 0.500

First-principles (GGA-PBE) data for an optimized crystal structure of KLiZn2Br6, as listed in Alexandria via LeMat-Bulk.

## Properties
formation energy (no corrections)	-1.17	eV/atom
size of the total moment	0.00	μB per cell

abc: 9.851 9.851 7.601
angles: 104.02 104.02 89.70
Positions (direct):
K: 0.121 0.879 0.750
K: 0.879 0.121 0.250
Li: 0.220 0.780 0.250
Li: 0.780 0.220 0.750
Zn: 0.230 0.381 0.805
Zn: 0.381 0.230 0.305
Zn: 0.619 0.770 0.695
Zn: 0.770 0.619 0.195
Br: 0.037 0.202 0.691
Br: 0.151 0.608 0.932
Br: 0.202 0.037 0.191
Br: 0.305 0.421 0.527
Br: 0.392 0.849 0.568
Br: 0.421 0.305 0.027
Br: 0.579 0.695 0.973
Br: 0.608 0.151 0.432
Br: 0.695 0.579 0.473
Br: 0.798 0.963 0.809
Br: 0.849 0.392 0.068
Br: 0.963 0.798 0.309

First-principles (GGA-PBE) data for an optimized crystal structure of Er5InHg4, as listed in Alexandria via LeMat-Bulk.

## Properties
calculated formation energy	-473.6	meV per atom
size of the total moment	0.00	μB per cell

abc: 3.701 3.701 18.478
angles: 90.00 90.00 90.00
Positions (direct):
Er: 0.000 0.000 0.000
Er: 0.000 0.000 0.199
Er: 0.000 0.000 0.396
Er: 0.000 0.000 0.604
Er: 0.000 0.000 0.801
In: 0.500 0.500 0.500
Hg: 0.500 0.500 0.100
Hg: 0.500 0.500 0.298
Hg: 0.500 0.500 0.702
Hg: 0.500 0.500 0.900

First-principles (GGA-PBE) data for an optimized crystal structure of PtWAu2, as listed in Alexandria via LeMat-Bulk.

## Properties
ΔE to the lowest computed polymorph	117	meV/atom
calculated formation energy	117.8	meV per atom
size of the total moment	0.00	μB per cell

abc: 2.822 3.915 6.149
angles: 90.00 90.07 90.00
Positions (direct):
Pt: 0.000 0.000 0.000
W: 0.499 0.500 0.800
Au: 0.500 0.500 0.273
Au: 0.998 0.000 0.537

First-principles (GGA-PBE) data for an optimized crystal structure of YMgAg, as listed in Alexandria via LeMat-Bulk.

## Properties
calculated formation energy	-183.3	meV per atom
size of the total moment	0.00	μB per cell

abc: 4.882 4.882 3.451
angles: 90.00 90.00 120.00
Positions (direct):
Y: 0.000 0.000 0.000
Mg: 0.333 0.667 0.501
Ag: 0.667 0.333 0.498

First-principles (GGA-PBE) data for an optimized crystal structure of Hf4SnRh2, as listed in Alexandria via LeMat-Bulk.

## Properties
calculated formation energy	-376.6	meV per atom
size of the total moment	0.00	μB per cell

abc: 9.794 9.794 9.794
angles: 25.68 25.68 25.68
Positions (direct):
Hf: 0.109 0.109 0.109
Hf: 0.300 0.300 0.300
Hf: 0.700 0.700 0.700
Hf: 0.891 0.891 0.891
Sn: 0.500 0.500 0.500
Rh: 0.398 0.398 0.398
Rh: 0.602 0.602 0.602

First-principles (GGA-PBE) data for an optimized crystal structure of CsScFe3, as listed in Alexandria via LeMat-Bulk.

## Properties
calculated formation energy	2229.0	meV per atom
size of the total moment	5.02	μB per cell

abc: 4.731 4.731 4.731
angles: 90.00 90.00 90.00
Positions (direct):
Cs: 0.000 0.000 0.000
Sc: 0.500 0.500 0.500
Fe: 0.000 0.000 0.500
Fe: 0.000 0.500 0.000
Fe: 0.500 0.000 0.000

First-principles (GGA-PBE) data for an optimized crystal structure of In2SbW, as listed in Alexandria via LeMat-Bulk.

## Properties
formation energy (no corrections)	0.69	eV/atom
size of the total moment	0.00	μB per cell

abc: 5.672 5.672 5.672
angles: 142.24 129.04 65.13
Positions (direct):
In: 0.238 0.238 0.000
In: 0.762 0.762 0.000
Sb: 0.500 0.000 0.500
W: 0.000 0.500 0.500

First-principles (GGA-PBE) data for an optimized crystal structure of Ho4CoGe8, as listed in Alexandria via LeMat-Bulk.

## Properties
calculated formation energy	-626.6	meV per atom
size of the total moment	0.00	μB per cell

abc: 3.997 4.092 15.966
angles: 90.00 90.00 90.00
Positions (direct):
Ho: 0.000 0.000 0.000
Ho: 0.000 0.500 0.497
Ho: 0.500 0.000 0.790
Ho: 0.500 0.500 0.291
Co: 0.000 0.500 0.706
Ge: 0.000 0.000 0.340
Ge: 0.000 0.000 0.634
Ge: 0.000 0.500 0.144
Ge: 0.000 0.500 0.850
Ge: 0.500 0.000 0.147
Ge: 0.500 0.000 0.446
Ge: 0.500 0.500 0.634
Ge: 0.500 0.500 0.953

First-principles (GGA-PBE) data for an optimized crystal structure of Mg3ZnCu, as listed in Alexandria via LeMat-Bulk.

## Properties
ΔE to the lowest computed polymorph	247	meV/atom
calculated formation energy	300.1	meV per atom
size of the total moment	0.00	μB per cell

abc: 7.712 7.712 7.712
angles: 149.50 149.50 43.67
Positions (direct):
Mg: 0.000 0.000 0.000
Mg: 0.168 0.668 0.500
Mg: 0.668 0.168 0.500
Zn: 0.814 0.814 0.000
Cu: 0.540 0.540 0.000

First-principles (GGA-PBE) data for an optimized crystal structure of TbGa2Cu, as listed in Alexandria via LeMat-Bulk.

## Properties
calculated formation energy	-356.7	meV per atom
size of the total moment	0.00	μB per cell

abc: 4.194 4.194 4.253
angles: 90.00 90.00 90.00
Positions (direct):
Tb: 0.000 0.000 0.000
Ga: 0.000 0.500 0.500
Ga: 0.500 0.000 0.500
Cu: 0.500 0.500 0.000